1.
Entry from Alexandria via LeMat-Bulk: a relaxed structure of LiHo2MgAg4 (GGA-PBE).

Calculated values
energy relative to the elements	-2.038	eV per formula unit

a = 8.486 Å, b = 8.486 Å, c = 8.486 Å
α = 33.74°, β = 33.74°, γ = 33.74°
Positions (direct):
1 Li 0.000 0.000 0.000
2 Ho 0.250 0.250 0.250
3 Ho 0.750 0.750 0.750
4 Mg 0.500 0.500 0.500
5 Ag 0.125 0.125 0.125
6 Ag 0.375 0.375 0.375
7 Ag 0.625 0.625 0.625
8 Ag 0.875 0.875 0.875


2.
Entry from Alexandria via LeMat-Bulk: a relaxed structure of TiHgSbO6 (GGA-PBE).

Calculated values
energy relative to the elements, uncorrected	-1.4664	eV per atom

a = 5.339 Å, b = 5.339 Å, c = 9.478 Å
α = 90.00°, β = 90.00°, γ = 120.00°
Positions (direct):
1 Ti 0.333 0.667 0.250
2 Ti 0.667 0.333 0.750
3 Hg 0.000 0.000 0.000
4 Hg 0.000 0.000 0.500
5 Sb 0.333 0.667 0.750
6 Sb 0.667 0.333 0.250
7 O 0.004 0.371 0.139
8 O 0.004 0.632 0.361
9 O 0.368 0.371 0.361
10 O 0.368 0.996 0.139
11 O 0.371 0.004 0.639
12 O 0.371 0.368 0.861
13 O 0.629 0.632 0.139
14 O 0.629 0.996 0.361
15 O 0.632 0.004 0.861
16 O 0.632 0.629 0.639
17 O 0.996 0.368 0.639
18 O 0.996 0.629 0.861